# 1
RbMnBi3 | the Alexandria database | PBE | relaxed; DOS at the Fermi energy = 3.40 states/eV/cell; ΔE_f = 1587.0 meV/atom; E = -2.769 eV per atom; SG = Pm-3m, No. 221; size of the total moment = 0.99 μB/atom
1.0
6.095 0.000 0.000
0.000 6.095 0.000
0.000 0.000 6.095
Rb Mn Bi
1 1 3
Direct
0.000 0.000 0.000
0.500 0.500 0.500
0.000 0.000 0.500
0.000 0.500 0.000
0.500 0.000 0.000


# 2
RbMnBi2S4 | the Alexandria database | PBE | relaxed; DOS at the Fermi energy = 3.34 states/eV/cell; E = -4.827 eV per atom; SG = Cmcm, No. 63; size of the total moment = 0.52 μB/atom; raw formation energy = -526 meV/atom
1.0
2.070 -7.243 0.000
2.070 7.243 0.000
0.000 0.000 14.564
Rb Mn Bi S
2 2 4 8
Direct
0.116 0.884 0.750
0.884 0.116 0.250
0.152 0.848 0.250
0.848 0.152 0.750
0.373 0.627 0.556
0.373 0.627 0.944
0.627 0.373 0.056
0.627 0.373 0.444
0.000 0.000 0.000
0.000 0.000 0.500
0.246 0.754 0.114
0.246 0.754 0.386
0.432 0.568 0.750
0.568 0.432 0.250
0.754 0.246 0.614
0.754 0.246 0.886


# 3
RbMnBiS3 | the Alexandria database | PBE | relaxed; E = -5.095 eV per atom; SG = P2_1/m, No. 11; size of the total moment = 0.83 μB/atom; raw formation energy = -695 meV/atom
1.0
9.352 0.000 0.000
0.000 4.150 0.000
-2.633 0.000 9.317
Rb Mn Bi S
2 2 2 6
Direct
0.188 0.250 0.226
0.812 0.750 0.774
0.093 0.250 0.607
0.907 0.750 0.393
0.344 0.750 0.861
0.656 0.250 0.139
0.136 0.250 0.860
0.177 0.750 0.518
0.442 0.750 0.144
0.558 0.250 0.856
0.823 0.250 0.482
0.864 0.750 0.140


# 4
Rb2MnBiSe4 | the Alexandria database | PBE | relaxed; DOS at the Fermi energy = 8.06 states/eV/cell; E = -4.263 eV per atom; SG = Imma, No. 74; size of the total moment = 0.50 μB/atom; raw formation energy = -648 meV/atom
1.0
-4.292 4.479 6.175
4.292 -4.479 6.175
4.292 4.479 -6.175
Rb Mn Bi Se
4 2 2 8
Direct
0.000 0.000 0.000
0.500 0.000 0.000
0.500 0.000 0.500
0.500 0.500 0.500
0.000 0.000 0.500
0.000 0.500 0.000
0.000 0.500 0.500
0.500 0.500 0.000
0.183 0.739 0.444
0.205 0.261 0.944
0.215 0.237 0.522
0.215 0.692 0.978
0.785 0.308 0.022
0.785 0.763 0.478
0.795 0.739 0.056
0.817 0.261 0.556